# 1
P2PbC | PBE | optimized geometry

a = 4.6085 Å, b = 4.6085 Å, c = 4.6085 Å
α = 60.00°, β = 60.00°, γ = 60.00°
Sites, in units of the cell vectors:
P: 0.2500 0.2500 0.2500
P: 0.7500 0.7500 0.7500
Pb: 0.0000 0.0000 0.0000
C: 0.5000 0.5000 0.5000

Computed properties:
The calculation puts the formation enthalpy at 0 K at 1.887 eV/atom. The crystal system is cubic.

# 2
CsKTa2N | PBE | optimized geometry

a = 4.8141 Å, b = 4.8141 Å, c = 6.0878 Å
α = 90.00°, β = 90.00°, γ = 90.00°
Sites, in units of the cell vectors:
Cs: 0.0000 0.0000 0.0000
K: 0.0000 0.0000 0.5000
Ta: 0.0000 0.5000 0.5000
Ta: 0.5000 0.0000 0.5000
N: 0.5000 0.5000 0.0000

Computed properties:
The crystal system is tetragonal.

# 3
TeH2Au | PBE | optimized geometry

a = 4.1972 Å, b = 4.1972 Å, c = 4.1972 Å
α = 60.00°, β = 60.00°, γ = 60.00°
Sites, in units of the cell vectors:
Te: 0.0000 0.0000 0.0000
H: 0.2500 0.2500 0.2500
H: 0.7500 0.7500 0.7500
Au: 0.5000 0.5000 0.5000

Computed properties:
The crystal system is cubic.

# 4
TlF3 | PBE | optimized geometry

a = 7.9891 Å, b = 7.9891 Å, c = 7.9891 Å
α = 152.61°, β = 152.61°, γ = 39.12°
Sites, in units of the cell vectors:
Tl: 0.0000 0.0000 0.0000
Tl: 0.7500 0.2500 0.5000
F: 0.0774 0.6250 0.9524
F: 0.2500 0.7500 0.5000
F: 0.3750 0.3274 0.4524
F: 0.5000 0.5000 0.0000
F: 0.6726 0.1250 0.0476
F: 0.8750 0.9226 0.5476

Computed properties:
The crystal system is tetragonal.

no.,total DFT energy (no corrections) (eV/atom)
1,-4.0505
2,-2.9967
3,-2.3956
4,-3.3089